Record 1
First-principles (PBEsol) data for crystalline SiP2Os2 at its relaxed geometry, as listed in Alexandria via LeMat-Bulk.

Its magnetic moment is 0.00 μB per formula unit. The raw total energy is -82.14 eV per cell. Its energy relative to the elements, uncorrected is 138 meV/atom. As for the density of states at the Fermi level: 0.41 states/eV/atom.

It has space group I4/mmm (No. 139), with a = 3.620 Å, b = 3.620 Å, c = 11.245 Å, α = 90.00°, β = 90.00° and γ = 90.00°. The distinct sites, in fractional coordinates, are Si at (0.000, 0.000, 0.000), P at (0.000, 0.500, 0.250) and Os at (0.000, 0.000, 0.376).



Record 2
First-principles (PBEsol) data for crystalline SiP2Os at its relaxed geometry, as listed in Alexandria via LeMat-Bulk.

Its magnetic moment is 0.00 μB per formula unit. The raw total energy is -57.92 eV per cell. Its energy relative to the elements, uncorrected is 147 meV/atom. As for the density of states at the Fermi level: 0.41 states/eV/atom.

It has space group Cm (No. 8), with a = 7.774 Å, b = 2.889 Å, c = 5.737 Å, α = 90.00°, β = 100.49° and γ = 90.00°. The distinct sites, in fractional coordinates, are Si at (0.000, 0.000, 0.000), P at (0.257, 0.000, 0.833), P at (0.479, 0.000, 0.400) and Os at (0.245, 0.500, 0.184).



Record 3
First-principles (PBEsol) data for crystalline SiP2Os at its relaxed geometry, as listed in Alexandria via LeMat-Bulk.

Its magnetic moment is 0.00 μB per formula unit. The raw total energy is -58.22 eV per cell. Its energy relative to the elements, uncorrected is 109 meV/atom. As for the density of states at the Fermi level: 0.35 states/eV/atom.

It has space group C2/m (No. 12), with a = 7.179 Å, b = 3.007 Å, c = 5.708 Å, α = 90.00°, β = 110.84° and γ = 90.00°. The distinct sites, in fractional coordinates, are Si at (0.000, 0.000, 0.000), P at (0.228, 0.500, 0.277) and Os at (0.000, 0.500, 0.500).



Record 4
First-principles (PBEsol) data for crystalline SiP2Os at its relaxed geometry, as listed in Alexandria via LeMat-Bulk.

Its magnetic moment is 0.00 μB per formula unit. The raw total energy is -28.85 eV per cell. Its energy relative to the elements, uncorrected is 173 meV/atom. As for the density of states at the Fermi level: 0.49 states/eV/atom.

It has space group P4/mmm (No. 123), with a = 2.883 Å, b = 2.883 Å, c = 6.477 Å, α = 90.00°, β = 90.00° and γ = 90.00°. The distinct sites, in fractional coordinates, are Si at (0.000, 0.000, 0.000), P at (0.500, 0.500, 0.267) and Os at (0.000, 0.000, 0.500).



Record 5
First-principles (PBEsol) data for crystalline Si2POs at its relaxed geometry, as listed in Alexandria via LeMat-Bulk.

Its magnetic moment is 0.00 μB per formula unit. The raw total energy is -27.92 eV per cell. Its energy relative to the elements, uncorrected is 395 meV/atom. As for the density of states at the Fermi level: 0.51 states/eV/atom.

It has space group P4/mmm (No. 123), with a = 4.182 Å, b = 4.182 Å, c = 3.091 Å, α = 90.00°, β = 90.00° and γ = 90.00°. The distinct sites, in fractional coordinates, are Si at (0.000, 0.500, 0.000), P at (0.000, 0.000, 0.500) and Os at (0.500, 0.500, 0.500).



Record 6
First-principles (PBEsol) data for crystalline Si4P4Os at its relaxed geometry, as listed in Alexandria via LeMat-Bulk.

Its magnetic moment is 0.00 μB per formula unit. The raw total energy is -61.61 eV per cell. Its energy relative to the elements, uncorrected is -360 meV/atom. As for the density of states at the Fermi level: 0.00 states/eV/atom.

It has space group P1 (No. 1), with a = 4.941 Å, b = 5.601 Å, c = 6.171 Å, α = 85.69°, β = 68.40° and γ = 70.98°. The distinct sites, in fractional coordinates, are Si at (0.000, 0.000, 0.000), Si at (0.122, 0.249, 0.450), Si at (0.431, 0.432, 0.796), Si at (0.605, 0.629, 0.257), P at (0.102, 0.880, 0.328), P at (0.387, 0.065, 0.689), P at (0.528, 0.295, 0.132), P at (0.921, 0.669, 0.886) and Os at (0.762, 0.656, 0.568).



Record 7
First-principles (PBEsol) data for crystalline SiP2Os at its relaxed geometry, as listed in Alexandria via LeMat-Bulk.

Its magnetic moment is 0.00 μB per formula unit. The raw total energy is -29.22 eV per cell. Its energy relative to the elements, uncorrected is 82 meV/atom. As for the density of states at the Fermi level: 0.26 states/eV/atom.

It has space group P4mm (No. 99), with a = 2.958 Å, b = 2.958 Å, c = 6.653 Å, α = 90.00°, β = 90.00° and γ = 90.00°. The distinct sites, in fractional coordinates, are Si at (0.000, 0.000, 0.000), P at (0.000, 0.000, 0.448), P at (0.500, 0.500, 0.831) and Os at (0.500, 0.500, 0.238).



Record 8
First-principles (PBEsol) data for crystalline Sr2SnPOs at its relaxed geometry, as listed in Alexandria via LeMat-Bulk.

Its magnetic moment is 0.16 μB per formula unit. The raw total energy is -24.30 eV per cell. As for the formation energy: 1.648 eV/f.u. As for the density of states at the Fermi level: 1.51 states/eV/atom.

It has space group P4/mmm (No. 123), with a = 5.534 Å, b = 5.534 Å, c = 4.989 Å, α = 90.00°, β = 90.00° and γ = 90.00°. The distinct sites, in fractional coordinates, are Sr at (0.000, 0.500, 0.000), Sn at (0.000, 0.000, 0.500), P at (0.500, 0.500, 0.500) and Os at (0.000, 0.000, 0.000).